Record 1
Density functional theory data (PBE-GGA) for crystalline BaTl2Rh at its relaxed geometry.

Values from the calculation:
Total energy, eV for the cell shown: -29.56
Crystal system: monoclinic

CIF file:
```
data_BaTl2Rh
_chemical_formula_sum 'Ba2 Tl4 Rh2'
_space_group_name_H-M_alt 'C 1 m 1'
_space_group_IT_number 8
_cell_length_a 8.3824
_cell_length_b 4.8452
_cell_length_c 6.4798
_cell_angle_alpha 90.00
_cell_angle_beta 115.48
_cell_angle_gamma 90.00
loop_
_space_group_symop_operation_xyz
'x,y,z'
'x,-y,z'
'x+1/2,y+1/2,z'
'x+1/2,-y+1/2,z'
loop_
_atom_site_label
_atom_site_type_symbol
_atom_site_fract_x
_atom_site_fract_y
_atom_site_fract_z
Ba1 Ba 0.0000 0.0000 0.0000
Tl1 Tl 0.2094 0.0000 0.6279
Tl2 Tl 0.4557 0.0000 0.3666
Rh1 Rh 0.3140 0.5000 0.4415
```

Record 2
Density functional theory data (PBE-GGA) for crystalline Pm2Sm8Y at its relaxed geometry.

Values from the calculation:
Distance to the lowest polymorph of the same formula, eV per formula unit: 1.409
Crystal system: monoclinic

CIF file:
```
data_Pm2Sm8Y
_chemical_formula_sum 'Pm4 Sm16 Y2'
_space_group_name_H-M_alt 'C 1 2/m 1'
_space_group_IT_number 12
_cell_length_a 9.1693
_cell_length_b 16.5469
_cell_length_c 5.9941
_cell_angle_alpha 90.00
_cell_angle_beta 123.99
_cell_angle_gamma 90.00
loop_
_space_group_symop_operation_xyz
'x,y,z'
'-x,-y,-z'
'-x,y,-z'
'x,-y,z'
'x+1/2,y+1/2,z'
'-x+1/2,-y+1/2,-z'
'-x+1/2,y+1/2,-z'
'x+1/2,-y+1/2,z'
loop_
_atom_site_label
_atom_site_type_symbol
_atom_site_fract_x
_atom_site_fract_y
_atom_site_fract_z
Pm1 Pm 0.0000 0.1913 0.0000
Sm1 Sm 0.0000 0.2941 0.5000
Sm2 Sm 0.0738 0.0000 0.2955
Sm3 Sm 0.2158 0.3828 0.1808
Y1 Y 0.0000 0.5000 0.5000
```

Record 3
Density functional theory data (PBE-GGA) for crystalline TlHgB at its relaxed geometry.

Values from the calculation:
Total energy, eV for the cell shown: -27.39
Crystal system: orthorhombic

CIF file:
```
data_TlHgB
_chemical_formula_sum 'Tl4 Hg4 B4'
_space_group_name_H-M_alt 'P n m a'
_space_group_IT_number 62
_cell_length_a 7.9124
_cell_length_b 4.3582
_cell_length_c 8.3767
_cell_angle_alpha 90.00
_cell_angle_beta 90.00
_cell_angle_gamma 90.00
loop_
_space_group_symop_operation_xyz
'x,y,z'
'-x,-y,-z'
'-x+1/2,-y,z+1/2'
'x+1/2,y,-z+1/2'
'x+1/2,-y+1/2,-z+1/2'
'-x+1/2,y+1/2,z+1/2'
'-x,y+1/2,-z'
'x,-y+1/2,z'
loop_
_atom_site_label
_atom_site_type_symbol
_atom_site_fract_x
_atom_site_fract_y
_atom_site_fract_z
Tl1 Tl 0.0937 0.2500 0.1122
Hg1 Hg 0.0748 0.2500 0.6307
B1 B 0.1015 0.7500 0.6471
```

Record 4
Density functional theory data (PBE-GGA) for crystalline CaMg2Ta at its relaxed geometry.

Values from the calculation:
Total energy, eV for the cell shown: -30.47
Crystal system: monoclinic

CIF file:
```
data_CaMg2Ta
_chemical_formula_sum 'Ca2 Mg4 Ta2'
_space_group_name_H-M_alt 'C 1 m 1'
_space_group_IT_number 8
_cell_length_a 11.0405
_cell_length_b 3.0222
_cell_length_c 5.6551
_cell_angle_alpha 90.00
_cell_angle_beta 102.90
_cell_angle_gamma 90.00
loop_
_space_group_symop_operation_xyz
'x,y,z'
'x,-y,z'
'x+1/2,y+1/2,z'
'x+1/2,-y+1/2,z'
loop_
_atom_site_label
_atom_site_type_symbol
_atom_site_fract_x
_atom_site_fract_y
_atom_site_fract_z
Ca1 Ca 0.0000 0.0000 0.0000
Mg1 Mg 0.0002 0.5000 0.5229
Mg2 Mg 0.2614 0.5000 0.2408
Ta1 Ta 0.2400 0.0000 0.7233
```

Record 5
Density functional theory data (PBE-GGA) for crystalline YPtAu4 at its relaxed geometry.

Values from the calculation:
Distance to the lowest polymorph of the same formula, eV per formula unit: 0.000
Crystal system: monoclinic

CIF file:
```
data_YPtAu4
_chemical_formula_sum 'Y4 Pt4 Au16'
_space_group_name_H-M_alt 'C 1 2/m 1'
_space_group_IT_number 12
_cell_length_a 12.9043
_cell_length_b 7.3948
_cell_length_c 5.1910
_cell_angle_alpha 90.00
_cell_angle_beta 104.05
_cell_angle_gamma 90.00
loop_
_space_group_symop_operation_xyz
'x,y,z'
'-x,-y,-z'
'-x,y,-z'
'x,-y,z'
'x+1/2,y+1/2,z'
'-x+1/2,-y+1/2,-z'
'-x+1/2,y+1/2,-z'
'x+1/2,-y+1/2,z'
loop_
_atom_site_label
_atom_site_type_symbol
_atom_site_fract_x
_atom_site_fract_y
_atom_site_fract_z
Y1 Y 0.2148 0.0000 0.1381
Pt1 Pt 0.0529 0.5000 0.7684
Au1 Au 0.0000 0.1871 0.0000
Au2 Au 0.1236 0.1870 0.5878
Au3 Au 0.1723 0.5000 0.2933
```

For the records above, the corresponding calculated volume values read 238; 754; 289; 184; 481 Å³ per cell.